25
Lattice="3.9810 0.0000 0.0000 0.0000 19.7338 0.0000 0.0000 0.0000 4.2739" Properties=species:S:1:pos:R:3 comment="Zr2Ti3Pb5O15 (SCAN, single point on PBEsol structure)" e_form_raw_ev_per_atom=-2.574 total_magnetization_mub_per_cell=0.00 spacegroup="Pmm2 (25)" pbc="T T T"
Zr 0.0000 2.0693 0.0000
Zr 0.0000 17.6645 0.0000
Ti 0.0000 6.0496 4.2311
Ti 0.0000 9.8669 4.2337
Ti 0.0000 13.6842 4.2311
Pb 1.9905 0.0000 1.8911
Pb 1.9905 4.1377 1.8914
Pb 1.9905 7.9609 1.8971
Pb 1.9905 11.7729 1.8971
Pb 1.9905 15.5961 1.8914
O 0.0000 0.0000 0.3136
O 0.0000 2.0517 2.3058
O 0.0000 4.1561 0.3519
O 0.0000 6.0435 2.4650
O 0.0000 7.9607 0.3679
O 0.0000 9.8669 2.4700
O 0.0000 11.7732 0.3679
O 0.0000 13.6903 2.4650
O 0.0000 15.5777 0.3519
O 0.0000 17.6821 2.3058
O 1.9905 2.0732 0.4037
O 1.9905 6.0461 0.3181
O 1.9905 9.8669 0.3138
O 1.9905 13.6877 0.3181
O 1.9905 17.6607 0.4037

16
Lattice="3.9421 0.0000 0.0000 0.0000 3.9421 0.0000 0.0000 0.0000 14.9819" Properties=species:S:1:pos:R:3 comment="CaB2Pd (SCAN, single point on PBEsol structure)" total_magnetization_mub_per_cell=0.00 formation_energy_ev_per_atom=-0.0071 spacegroup="I4_1/amd (141)" pbc="T T T"
Ca 0.0000 0.9855 5.6182
Ca 0.0000 2.9566 9.3637
Ca 1.9710 0.9855 1.8727
Ca 1.9710 2.9566 13.1091
B 0.0000 0.0000 0.0000
B 0.0000 1.9710 0.0000
B 0.9855 0.9855 11.2364
B 0.9855 2.9566 3.7455
B 1.9710 0.0000 7.4909
B 1.9710 1.9710 7.4909
B 2.9566 0.9855 11.2364
B 2.9566 2.9566 3.7455
Pd 0.0000 0.9855 13.1091
Pd 0.0000 2.9566 1.8727
Pd 1.9710 0.9855 9.3637
Pd 1.9710 2.9566 5.6182

56
Lattice="8.3448 0.0000 0.0000 0.0000 8.9778 0.0000 -0.7417 0.0000 10.6688" Properties=species:S:1:pos:R:3 comment="SrGa2O4 (SCAN, single point on PBEsol structure)" e_form_raw_ev_per_atom=-2.451 total_magnetization_mub_per_cell=0.49 spacegroup="P2_1/c (14)" pbc="T T T"
Sr -0.2381 1.9079 3.9275
Sr -0.6090 2.5810 9.2619
Sr 3.7549 6.6116 1.6129
Sr 3.3840 6.8551 6.9472
Sr 4.2190 2.1227 3.7215
Sr 3.8481 2.3662 9.0559
Sr 8.2120 6.3968 1.4069
Sr 7.8411 7.0699 6.7413
Ga 1.3745 0.5031 1.4936
Ga 1.0037 3.9857 6.8280
Ga 1.5744 5.0663 3.9515
Ga 1.2035 8.4004 9.2859
Ga 1.9805 0.9618 6.6285
Ga 2.3514 3.5271 1.2941
Ga 1.8678 5.3236 9.5000
Ga 2.2386 8.1431 4.1656
Ga 5.3644 0.8347 6.5032
Ga 5.7353 3.6542 1.1688
Ga 5.2517 5.4507 9.3747
Ga 5.6225 8.0160 4.0403
Ga 6.3995 0.5774 1.3829
Ga 6.0286 3.9115 6.7173
Ga 6.5994 4.9920 3.8408
Ga 6.2285 8.4746 9.1752
O -0.4207 0.1151 8.7345
O -0.0499 4.3738 3.4001
O 1.1983 2.1916 0.7993
O 0.8274 2.2973 6.1337
O 1.7636 5.0842 0.4576
O 1.3927 8.3824 5.7920
O 1.6877 6.7318 3.1168
O 1.3168 6.7348 8.4512
O 1.7721 5.2710 5.7650
O 2.1430 8.1957 0.4306
O 2.1267 0.7363 3.1912
O 1.7559 3.7526 8.5255
O 2.3813 0.5221 8.3855
O 2.7522 3.9668 3.0511
O 3.6674 1.4183 6.0153
O 4.0383 3.0706 0.6809
O 3.5647 5.9071 9.9879
O 3.9356 7.5595 4.6535
O 4.8508 5.0109 7.6177
O 5.2217 8.4557 2.2833
O 5.8471 5.2252 2.1432
O 5.4763 8.2415 7.4776
O 5.4600 0.7821 10.2382
O 5.8309 3.7068 4.9038
O 6.2862 2.2429 2.2176
O 5.9154 2.2459 7.5520
O 6.2103 0.5954 4.8768
O 5.8394 3.8935 10.2112
O 6.7756 6.6805 4.5351
O 6.4048 6.7862 9.8695
O 7.6529 4.6039 7.2687
O 8.0238 8.8627 1.9343

10
Lattice="7.6262 0.0000 0.0000 0.0000 7.6262 0.0000 0.0000 0.0000 4.2075" Properties=species:S:1:pos:R:3 comment="Sr2Cu2Hg (SCAN, single point on PBEsol structure)" total_magnetization_mub_per_cell=0.00 formation_energy_ev_per_atom=-0.1780 spacegroup="P4/mbm (127)" pbc="T T T"
Sr 1.3961 2.4169 0.0000
Sr 2.4169 6.2300 0.0000
Sr 5.2092 1.3961 0.0000
Sr 6.2300 5.2092 0.0000
Cu 0.8515 4.6646 2.1037
Cu 2.9615 0.8515 2.1037
Cu 4.6646 6.7746 2.1037
Cu 6.7746 2.9615 2.1037
Hg 0.0000 0.0000 2.1037
Hg 3.8131 3.8131 2.1037

5
Lattice="3.9978 0.0000 0.0000 0.0000 3.9978 0.0000 0.0000 0.0000 5.6439" Properties=species:S:1:pos:R:3 comment="CoPPbO2 (SCAN, single point on PBEsol structure)" e_form_raw_ev_per_atom=0.540 total_magnetization_mub_per_cell=3.14 spacegroup="P4/mmm (123)" pbc="T T T"
Co 0.0000 0.0000 0.0000
P 1.9989 1.9989 0.0000
Pb 1.9989 1.9989 2.8219
O 0.0000 1.9989 2.8219
O 1.9989 0.0000 2.8219

12
Lattice="3.5373 0.0000 0.0000 -1.7686 3.0634 0.0000 0.0000 0.0000 17.6765" Properties=species:S:1:pos:R:3 comment="Be2InAs (SCAN, single point on PBEsol structure)" de_polymorph_ev_per_atom=0.000 total_magnetization_mub_per_cell=0.00 formation_energy_ev_per_atom=0.2339 spacegroup="R-3m (166)" pbc="T T T"
Be 0.0000 0.0000 3.9742
Be 0.0000 0.0000 13.7022
Be 0.0000 2.0423 7.8101
Be 0.0000 2.0423 15.7585
Be 1.7686 1.0211 1.9179
Be 1.7686 1.0211 9.8664
In 0.0000 0.0000 0.0000
In 0.0000 2.0423 11.7843
In 1.7686 1.0211 5.8921
As 0.0000 0.0000 8.8382
As 0.0000 2.0423 2.9461
As 1.7686 1.0211 14.7304

18
Lattice="4.4423 -3.0738 0.0000 4.4423 3.0738 0.0000 -3.3429 0.0000 6.5857" Properties=species:S:1:pos:R:3 comment="Co3O2F4 (SCAN, single point on PBEsol structure)" e_form_raw_ev_per_atom=-1.781 de_polymorph_ev_per_atom=0.042 total_magnetization_mub_per_cell=10.30 spacegroup="C2 (5)" pbc="T T T"
Co 0.0000 0.0000 0.0000
Co 0.1471 0.2204 5.4967
Co 1.8847 0.0125 2.2452
Co 5.3946 0.2204 1.0890
Co 3.6570 0.0125 4.3405
Co 2.7709 -3.0542 3.2928
O 0.1563 1.9852 5.4834
O 2.7709 1.2341 3.2928
O 5.3854 1.9852 1.1023
O 2.7709 -1.1959 3.2928
F -1.8882 0.0668 5.3493
F 0.2736 0.0622 3.5108
F 3.4048 0.0651 0.8813
F 2.1369 0.0651 5.7044
F 0.1455 -1.7469 5.4745
F 5.2681 0.0622 3.0748
F 7.4299 0.0668 1.2364
F 5.3962 -1.7469 1.1112

8
Lattice="6.2149 0.0000 0.0000 0.0000 7.2755 0.0000 -3.0577 0.0000 3.6416" Properties=species:S:1:pos:R:3 comment="ZnAuCl2 (SCAN, single point on PBEsol structure)" e_form_raw_ev_per_atom=-0.099 de_polymorph_ev_per_atom=0.000 total_magnetization_mub_per_cell=0.00 spacegroup="C2/m (12)" pbc="T T T"
Zn 0.0000 0.0000 0.0000
Zn 3.1074 3.6377 0.0000
Au 0.0000 3.6377 0.0000
Au 3.1074 0.0000 0.0000
Cl 0.0249 1.8189 1.8208
Cl 0.0249 5.4566 1.8208
Cl 3.1323 1.8189 1.8208
Cl 3.1323 5.4566 1.8208

5
Lattice="4.4426 0.0000 0.0000 0.0000 4.4426 0.0000 0.0000 0.0000 4.4426" Properties=species:S:1:pos:R:3 comment="Sc3TlH (SCAN, single point on PBEsol structure)" total_magnetization_mub_per_cell=2.43 spacegroup="Pm-3m (221)" energy_ev_per_atom=-24.175 pbc="T T T"
Sc 0.0000 0.0000 2.2213
Sc 0.0000 2.2213 0.0000
Sc 2.2213 0.0000 0.0000
Tl 2.2213 2.2213 2.2213
H 0.0000 0.0000 0.0000